Compound: As2HIr
Source: Alexandria
Functional: SCAN
Structure: single point on PBEsol structure

a = 6.062 Å, b = 6.062 Å, c = 6.062 Å
α = 130.22°, β = 130.22°, γ = 73.06°
Fractional coordinates of all 8 atoms:
As1 0.069 0.625 0.944
As2 0.375 0.319 0.444
As3 0.681 0.125 0.056
As4 0.875 0.931 0.556
H1 0.000 0.000 0.000
H2 0.750 0.250 0.500
Ir1 0.250 0.750 0.500
Ir2 0.500 0.500 0.000

SG: I-42d (122)
Uncorrected energy in eV/atom: -28.42